# 1
The following is a PBE-GGA calculation of a relaxed AsP3Au crystal, from the Alexandria database.

As for the density of states at the Fermi level: 4.6 states/eV/f.u. Its energy of formation from the pure elements is 1159 meV/atom. The value obtained for the polymorph energy (0 for the lowest one) is 0 meV per atom.

The structure belongs to space group Pm-3m (No. 221); the cell edges are 4.6874, 4.6874 and 4.6874 Å and the angles 90.00°, 90.00° and 90.00°. The asymmetric unit holds As at (0.0000, 0.0000, 0.0000), P at (0.0000, 0.0000, 0.5000) and Au at (0.5000, 0.5000, 0.5000).



# 2
The following is a PBE-GGA calculation of a relaxed Pr4As2PAu crystal, from the Alexandria database.

As for the density of states at the Fermi level: 6.1 states/eV/f.u. Its energy of formation from the pure elements is -1260 meV/atom.

The structure belongs to space group P2/m (No. 10); the cell edges are 7.4018, 4.2750 and 7.4991 Å and the angles 90.00°, 108.85° and 90.00°. The asymmetric unit holds Pr at (0.2418, 0.0000, 0.2349), Pr at (0.2502, 0.5000, 0.7610), As at (0.0000, 0.0000, 0.5000), As at (0.0000, 0.5000, 0.0000), P at (0.5000, 0.0000, 0.0000) and Au at (0.5000, 0.5000, 0.5000).



# 3
The following is a PBE-GGA calculation of a relaxed AsPPtAu2 crystal, from the Alexandria database.

As for the density of states at the Fermi level: 2.4 states/eV/f.u. Its energy of formation from the pure elements is 861 meV/atom.

The structure belongs to space group P4/mmm (No. 123); the cell edges are 5.1645, 5.1645 and 4.5143 Å and the angles 90.00°, 90.00° and 90.00°. The asymmetric unit holds As at (0.0000, 0.0000, 0.0000), P at (0.5000, 0.5000, 0.0000), Pt at (0.0000, 0.0000, 0.5000) and Au at (0.0000, 0.5000, 0.5000).



# 4
The following is a PBE-GGA calculation of a relaxed ReAs2PAu crystal, from the Alexandria database.

As for the density of states at the Fermi level: 2.4 states/eV/f.u. Its energy of formation from the pure elements is 267 meV/atom. The value obtained for the polymorph energy (0 for the lowest one) is 250 meV per atom.

The structure belongs to space group P1 (No. 1); the cell edges are 4.2894, 4.8459 and 5.0726 Å and the angles 104.40°, 105.44° and 100.24°. The asymmetric unit holds Re at (0.0000, 0.0000, 0.0000), As at (0.0786, 0.1690, 0.5420), As at (0.9309, 0.5441, 0.1400), P at (0.4265, 0.9290, 0.8050) and Au at (0.5507, 0.5243, 0.4609).



# 5
The following is a PBE-GGA calculation of a relaxed ReAs2PAu crystal, from the Alexandria database.

As for the density of states at the Fermi level: 1.6 states/eV/f.u. Its energy of formation from the pure elements is 85 meV/atom. The value obtained for the polymorph energy (0 for the lowest one) is 68 meV per atom.

The structure belongs to space group Cm (No. 8); the cell edges are 8.9080, 3.1825 and 7.3960 Å and the angles 90.00°, 116.74° and 90.00°. The asymmetric unit holds Re at (0.0000, 0.0000, 0.0000), As at (0.2180, 0.5000, 0.6813), As at (0.3236, 0.0000, 0.1097), P at (0.4957, 0.0000, 0.7625) and Au at (0.2601, 0.0000, 0.4097).



# 6
The following is a PBE-GGA calculation of a relaxed ReAs2PAu crystal, from the Alexandria database.

As for the density of states at the Fermi level: 2.8 states/eV/f.u. Its energy of formation from the pure elements is 228 meV/atom. The value obtained for the polymorph energy (0 for the lowest one) is 211 meV per atom.

The structure belongs to space group P1 (No. 1); the cell edges are 4.5080, 4.9031 and 4.9731 Å and the angles 111.63°, 105.81° and 104.09°. The asymmetric unit holds Re at (0.0000, 0.0000, 0.0000), As at (0.1864, 0.9924, 0.5494), As at (0.7951, 0.3828, 0.8033), P at (0.5999, 0.1170, 0.2138) and Au at (0.4705, 0.6093, 0.3947).



# 7
The following is a PBE-GGA calculation of a relaxed ReAs2PAu crystal, from the Alexandria database.

As for the density of states at the Fermi level: 1.7 states/eV/f.u. Its energy of formation from the pure elements is 101 meV/atom. The value obtained for the polymorph energy (0 for the lowest one) is 83 meV per atom.

The structure belongs to space group Cm (No. 8); the cell edges are 9.1101, 3.1587 and 6.3392 Å and the angles 90.00°, 96.27° and 90.00°. The asymmetric unit holds Re at (0.0000, 0.0000, 0.0000), As at (0.1372, 0.0000, 0.6719), As at (0.2227, 0.5000, 0.1076), P at (0.3944, 0.0000, 0.7484) and Au at (0.4542, 0.0000, 0.3727).



# 8
The following is a PBE-GGA calculation of a relaxed ReAs2PAu crystal, from the Alexandria database.

As for the density of states at the Fermi level: 3.2 states/eV/f.u. Its energy of formation from the pure elements is 254 meV/atom. The value obtained for the polymorph energy (0 for the lowest one) is 237 meV per atom.

The structure belongs to space group Cm (No. 8); the cell edges are 5.8329, 7.7835 and 4.6276 Å and the angles 90.00°, 120.61° and 90.00°. The asymmetric unit holds Re at (0.0000, 0.0000, 0.0000), As at (0.1017, 0.3120, 0.9561), P at (0.1938, 0.0000, 0.6194) and Au at (0.0559, 0.5000, 0.3925).